# 1
The following is a DFT calculation (PBE-GGA) of a geometry-optimized Sr2Sn2Se structure.

Output
* energy: -18.4 eV/f.u.
* energy relative to the elements, uncorrected: -0.7181 eV per atom

```
data_Sr2Sn2Se
_space_group_name_H-M_alt 'P 4/m b m'
_space_group_IT_number 127
_space_group_name_Hall '-P 4 2ab'
_cell_length_a 8.444
_cell_length_b 8.444
_cell_length_c 5.069
_cell_angle_alpha 90.00
_cell_angle_beta 90.00
_cell_angle_gamma 90.00
loop_
_atom_site_label
_atom_site_type_symbol
_atom_site_fract_x
_atom_site_fract_y
_atom_site_fract_z
_atom_site_occupancy
Sr1 Sr 0.190 0.310 0.000 1
Sn1 Sn 0.113 0.613 0.500 1
Se1 Se 0.000 0.000 0.000 1
```



# 2
The following is a DFT calculation (PBE-GGA) of a geometry-optimized Sr2SnTeSe5 structure.

Output
* energy: -36.6 eV/f.u.
* energy relative to the elements, uncorrected: -0.9580 eV per atom

```
data_Sr2SnTeSe5
_space_group_name_H-M_alt 'C m c 21'
_space_group_IT_number 36
_space_group_name_Hall 'C 2c -2'
_cell_length_a 4.729
_cell_length_b 18.060
_cell_length_c 12.694
_cell_angle_alpha 90.00
_cell_angle_beta 90.00
_cell_angle_gamma 90.00
loop_
_atom_site_label
_atom_site_type_symbol
_atom_site_fract_x
_atom_site_fract_y
_atom_site_fract_z
_atom_site_occupancy
Sr1 Sr 0.000 0.108 0.000 1
Sr2 Sr 0.000 0.135 0.638 1
Sn1 Sn 0.000 0.436 0.752 1
Te1 Te 0.000 0.218 0.363 1
Se1 Se 0.000 0.041 0.351 1
Se2 Se 0.000 0.285 0.961 1
Se3 Se 0.000 0.316 0.640 1
Se4 Se 0.000 0.360 0.319 1
Se5 Se 0.000 0.482 0.083 1
```



# 3
The following is a DFT calculation (PBE-GGA) of a geometry-optimized Sr2ThSnSe5 structure.

Output
* energy: -45.8 eV/f.u.
* energy relative to the elements, uncorrected: -1.5054 eV per atom

```
data_Sr2ThSnSe5
_space_group_name_H-M_alt 'C m c 21'
_space_group_IT_number 36
_space_group_name_Hall 'C 2c -2'
_cell_length_a 4.364
_cell_length_b 18.309
_cell_length_c 14.477
_cell_angle_alpha 90.00
_cell_angle_beta 90.00
_cell_angle_gamma 90.00
loop_
_atom_site_label
_atom_site_type_symbol
_atom_site_fract_x
_atom_site_fract_y
_atom_site_fract_z
_atom_site_occupancy
Sr1 Sr 0.000 0.074 0.000 1
Sr2 Sr 0.000 0.129 0.652 1
Th1 Th 0.000 0.238 0.388 1
Sn1 Sn 0.000 0.443 0.796 1
Se1 Se 0.000 0.085 0.422 1
Se2 Se 0.000 0.249 0.025 1
Se3 Se 0.000 0.285 0.755 1
Se4 Se 0.000 0.392 0.341 1
Se5 Se 0.000 0.492 0.110 1
```



# 4
The following is a DFT calculation (PBE-GGA) of a geometry-optimized SrTlSn2Se4 structure.

Output
* energy: -32.3 eV/f.u.
* energy relative to the elements, uncorrected: -0.7910 eV per atom

```
data_SrTlSn2Se4
_space_group_name_H-M_alt 'P 1 2/m 1'
_space_group_IT_number 10
_space_group_name_Hall '-P 2y'
_cell_length_a 7.510
_cell_length_b 4.303
_cell_length_c 7.661
_cell_angle_alpha 90.00
_cell_angle_beta 108.89
_cell_angle_gamma 90.00
loop_
_atom_site_label
_atom_site_type_symbol
_atom_site_fract_x
_atom_site_fract_y
_atom_site_fract_z
_atom_site_occupancy
Sr1 Sr 0.000 0.000 0.000 1
Tl1 Tl 0.500 0.500 0.000 1
Sn1 Sn 0.000 0.500 0.500 1
Sn2 Sn 0.500 0.000 0.500 1
Se1 Se 0.229 0.000 0.724 1
Se2 Se 0.241 0.500 0.267 1
```



# 5
The following is a DFT calculation (PBE-GGA) of a geometry-optimized SrTl2Sn2Se4 structure.

Output
* energy: -35.1 eV/f.u.
* energy relative to the elements, uncorrected: -0.7471 eV per atom

```
data_SrTl2Sn2Se4
_space_group_name_H-M_alt 'C 1 2/m 1'
_space_group_IT_number 12
_space_group_name_Hall '-C 2y'
_cell_length_a 18.181
_cell_length_b 4.241
_cell_length_c 8.375
_cell_angle_alpha 90.00
_cell_angle_beta 116.22
_cell_angle_gamma 90.00
loop_
_atom_site_label
_atom_site_type_symbol
_atom_site_fract_x
_atom_site_fract_y
_atom_site_fract_z
_atom_site_occupancy
Sr1 Sr 0.000 0.000 0.000 1
Tl1 Tl 0.110 0.000 0.575 1
Sn1 Sn 0.202 0.500 0.080 1
Se1 Se 0.054 0.500 0.795 1
Se2 Se 0.184 0.000 0.271 1
```



# 6
The following is a DFT calculation (PBE-GGA) of a geometry-optimized Sr2TlSnSe5 structure.

Output
* energy: -36.5 eV/f.u.
* energy relative to the elements, uncorrected: -1.0387 eV per atom

```
data_Sr2TlSnSe5
_space_group_name_H-M_alt 'C m c 21'
_space_group_IT_number 36
_space_group_name_Hall 'C 2c -2'
_cell_length_a 4.282
_cell_length_b 18.919
_cell_length_c 12.797
_cell_angle_alpha 90.00
_cell_angle_beta 90.00
_cell_angle_gamma 90.00
loop_
_atom_site_label
_atom_site_type_symbol
_atom_site_fract_x
_atom_site_fract_y
_atom_site_fract_z
_atom_site_occupancy
Sr1 Sr 0.000 0.110 0.000 1
Sr2 Sr 0.000 0.128 0.632 1
Tl1 Tl 0.000 0.440 0.775 1
Sn1 Sn 0.000 0.223 0.345 1
Se1 Se 0.000 0.050 0.400 1
Se2 Se 0.000 0.276 0.996 1
Se3 Se 0.000 0.301 0.690 1
Se4 Se 0.000 0.364 0.321 1
Se5 Se 0.000 0.498 0.090 1
```



# 7
The following is a DFT calculation (PBE-GGA) of a geometry-optimized Sr2USnSe6 structure.

Output
* energy: -52.4 eV/f.u.
* energy relative to the elements, uncorrected: -1.2821 eV per atom

```
data_Sr2USnSe6
_space_group_name_H-M_alt 'P 1 21/c 1'
_space_group_IT_number 14
_space_group_name_Hall '-P 2ybc'
_cell_length_a 7.196
_cell_length_b 7.837
_cell_length_c 12.665
_cell_angle_alpha 90.00
_cell_angle_beta 123.64
_cell_angle_gamma 90.00
loop_
_atom_site_label
_atom_site_type_symbol
_atom_site_fract_x
_atom_site_fract_y
_atom_site_fract_z
_atom_site_occupancy
Sr1 Sr 0.210 0.094 0.246 1
U1 U 0.500 0.000 0.000 1
Sn1 Sn 0.000 0.000 0.500 1
Se1 Se 0.134 0.180 0.941 1
Se2 Se 0.265 0.701 0.934 1
Se3 Se 0.386 0.038 0.759 1
```



# 8
The following is a DFT calculation (PBE-GGA) of a geometry-optimized Sr2VSnSe structure.

Output
* energy: -18.2 eV/f.u.
* energy relative to the elements, uncorrected: 0.3479 eV per atom

```
data_Sr2VSnSe
_space_group_name_H-M_alt 'P 4/m m m'
_space_group_IT_number 123
_space_group_name_Hall '-P 4 2'
_cell_length_a 5.757
_cell_length_b 5.757
_cell_length_c 5.666
_cell_angle_alpha 90.00
_cell_angle_beta 90.00
_cell_angle_gamma 90.00
loop_
_atom_site_label
_atom_site_type_symbol
_atom_site_fract_x
_atom_site_fract_y
_atom_site_fract_z
_atom_site_occupancy
Sr1 Sr 0.000 0.500 0.000 1
V1 V 0.000 0.000 0.500 1
Sn1 Sn 0.500 0.500 0.500 1
Se1 Se 0.500 0.500 0.000 1
```



# 9
The following is a DFT calculation (PBE-GGA) of a geometry-optimized TaSnSe3 structure.

Output
* energy: -29.1 eV/f.u.
* energy relative to the elements, uncorrected: -0.5598 eV per atom

```
data_TaSnSe3
_space_group_name_H-M_alt 'P 1'
_space_group_IT_number 1
_space_group_name_Hall 'P 1'
_cell_length_a 5.966
_cell_length_b 7.535
_cell_length_c 7.634
_cell_angle_alpha 114.31
_cell_angle_beta 100.72
_cell_angle_gamma 100.64
loop_
_atom_site_label
_atom_site_type_symbol
_atom_site_fract_x
_atom_site_fract_y
_atom_site_fract_z
_atom_site_occupancy
Ta1 Ta 0.000 0.000 0.000 1
Ta2 Ta 0.492 0.010 0.997 1
Sn1 Sn 0.272 0.203 0.665 1
Sn2 Sn 0.854 0.517 0.150 1
Se1 Se 0.124 0.836 0.670 1
Se2 Se 0.280 0.914 0.223 1
Se3 Se 0.340 0.350 0.086 1
Se4 Se 0.638 0.692 0.869 1
Se5 Se 0.742 0.167 0.792 1
Se6 Se 0.875 0.238 0.305 1
```



# 10
The following is a DFT calculation (PBE-GGA) of a geometry-optimized Ta2Sn2Se7 structure.

Output
* energy: -61.5 eV/f.u.
* energy relative to the elements, uncorrected: -0.4869 eV per atom

```
data_Ta2Sn2Se7
_space_group_name_H-M_alt 'I m m 2'
_space_group_IT_number 44
_space_group_name_Hall 'I 2 -2'
_cell_length_a 3.657
_cell_length_b 15.276
_cell_length_c 9.708
_cell_angle_alpha 90.00
_cell_angle_beta 90.00
_cell_angle_gamma 90.00
loop_
_atom_site_label
_atom_site_type_symbol
_atom_site_fract_x
_atom_site_fract_y
_atom_site_fract_z
_atom_site_occupancy
Ta1 Ta 0.000 0.000 0.000 1
Ta2 Ta 0.000 0.500 0.146 1
Sn1 Sn 0.000 0.323 0.798 1
Se1 Se 0.000 0.111 0.562 1
Se2 Se 0.000 0.174 0.091 1
Se3 Se 0.000 0.400 0.361 1
Se4 Se 0.000 0.500 0.705 1
```



# 11
The following is a DFT calculation (PBE-GGA) of a geometry-optimized TaSnSe2 structure.

Output
* energy: -24.8 eV/f.u.
* energy relative to the elements, uncorrected: -0.5039 eV per atom

```
data_TaSnSe2
_space_group_name_H-M_alt 'C 1 2/m 1'
_space_group_IT_number 12
_space_group_name_Hall '-C 2y'
_cell_length_a 5.888
_cell_length_b 3.401
_cell_length_c 9.332
_cell_angle_alpha 90.00
_cell_angle_beta 101.66
_cell_angle_gamma 90.00
loop_
_atom_site_label
_atom_site_type_symbol
_atom_site_fract_x
_atom_site_fract_y
_atom_site_fract_z
_atom_site_occupancy
Ta1 Ta 0.000 0.000 0.000 1
Sn1 Sn 0.000 0.500 0.500 1
Se1 Se 0.227 0.500 0.189 1
```



# 12
The following is a DFT calculation (PBE-GGA) of a geometry-optimized TaSnSe4 structure.

Output
* energy: -32.8 eV/f.u.
* ΔE to the lowest computed polymorph: 41 meV per atom
* energy relative to the elements, uncorrected: -0.5067 eV per atom

```
data_TaSnSe4
_space_group_name_H-M_alt 'C 1 2/c 1'
_space_group_IT_number 15
_space_group_name_Hall '-C 2yc'
_cell_length_a 7.799
_cell_length_b 17.641
_cell_length_c 6.544
_cell_angle_alpha 90.00
_cell_angle_beta 125.37
_cell_angle_gamma 90.00
loop_
_atom_site_label
_atom_site_type_symbol
_atom_site_fract_x
_atom_site_fract_y
_atom_site_fract_z
_atom_site_occupancy
Ta1 Ta 0.000 0.078 0.250 1
Sn1 Sn 0.000 0.421 0.750 1
Se1 Se 0.225 0.037 0.725 1
Se2 Se 0.234 0.174 0.272 1
```